1.
A relaxed Ta8NiC4S8 crystal, computed with PBE-GGA.

abc: 6.6002 6.6002 25.6569
angles: 90.00 90.00 120.00
Space group R-3m (No. 166, hexagonal axes)
Unique sites:
Ta (0.0000, 0.0000, 0.1213) [6 per cell]
Ta (0.0035, 0.5017, 0.8788) [18 per cell]
Ni (0.0000, 0.0000, 0.0000) [3 per cell]
C (0.0000, 0.0000, 0.5000) [3 per cell]
C (0.0000, 0.5000, 0.5000) [9 per cell]
S (0.0000, 0.0000, 0.2757) [6 per cell]
S (0.0017, 0.5008, 0.2764) [18 per cell]

Summary:
- Raw formation energy: -0.86 eV/atom

2.
A relaxed Li2FeRu crystal, computed with PBE-GGA.

abc: 2.8374 4.3774 9.1645
angles: 90.00 90.00 90.00
Space group Cmm2 (No. 35)
Unique sites:
Li (0.0000, 0.0000, 0.0000) [2 per cell]
Li (0.0000, 0.5000, 0.2886) [2 per cell]
Fe (0.0000, 0.0000, 0.5305) [2 per cell]
Ru (0.0000, 0.5000, 0.7588) [2 per cell]

Summary:
- E above lowest polymorph: 0.052 eV/atom
- Energy of formation: 0.2040 eV per atom

3.
A relaxed Ca2TiCdBr crystal, computed with PBE-GGA.

abc: 5.9860 5.9860 5.3259
angles: 90.00 90.00 90.00
Space group P4/mmm (No. 123)
Unique sites:
Ca (0.0000, 0.5000, 0.0000) [2 per cell]
Ti (0.0000, 0.0000, 0.0000) [1 per cell]
Cd (0.0000, 0.0000, 0.5000) [1 per cell]
Br (0.5000, 0.5000, 0.5000) [1 per cell]

Summary:
- Raw formation energy: 0.32 eV/atom

4.
A relaxed Cd2In4Bi5 crystal, computed with PBE-GGA.

abc: 16.2302 6.6073 6.6423
angles: 90.00 109.04 90.00
Space group C2/m (No. 12)
Unique sites:
Cd (0.2305, 0.0000, 0.2744) [4 per cell]
In (0.0727, 0.0000, 0.8841) [4 per cell]
In (0.2129, 0.5000, 0.1342) [4 per cell]
Bi (0.0000, 0.5000, 0.0000) [2 per cell]
Bi (0.0987, 0.2520, 0.4690) [8 per cell]

Summary:
- Energy of formation: 0.0821 eV per atom